First-principles (GGA-PBE) data for an optimized crystal structure of Na2CaCd6, as listed in Alexandria via LeMat-Bulk. Values from VASP.

The structure in Quantum ESPRESSO input format:
```
&SYSTEM
  ibrav = 0, nat = 9, ntyp = 3
/
ATOMIC_SPECIES
Na 22.99 Na.upf
Ca 40.08 Ca.upf
Cd 112.41 Cd.upf
CELL_PARAMETERS angstrom
7.6193 -4.4013 0.0000
7.6193 4.4013 0.0000
-0.0056 0.0000 3.4241
ATOMIC_POSITIONS crystal
Na 0.1665 0.1665 0.9997
Na 0.8335 0.8335 0.0003
Ca 0.5000 0.5000 0.0000
Cd 0.1648 0.4999 0.4982
Cd 0.1647 0.8353 0.5000
Cd 0.4999 0.1648 0.4982
Cd 0.5001 0.8352 0.5018
Cd 0.8353 0.1647 0.5000
Cd 0.8352 0.5001 0.5018
```

Summary:
- crystal system = monoclinic
- ΔH_f (0 K) (eV per atom) = -0.180

First-principles (GGA-PBE) data for an optimized crystal structure of NaCa2NbCd, as listed in Alexandria via LeMat-Bulk. Values from VASP.

The structure in Quantum ESPRESSO input format:
```
&SYSTEM
  ibrav = 0, nat = 5, ntyp = 4
/
ATOMIC_SPECIES
Na 22.99 Na.upf
Ca 40.08 Ca.upf
Nb 92.91 Nb.upf
Cd 112.41 Cd.upf
CELL_PARAMETERS angstrom
5.8730 0.0000 0.0000
0.0000 5.8730 0.0000
0.0000 0.0000 5.7818
ATOMIC_POSITIONS crystal
Na 0.0000 0.0000 0.0000
Ca 0.0000 0.5000 0.5000
Ca 0.5000 0.0000 0.5000
Nb 0.0000 0.0000 0.5000
Cd 0.5000 0.5000 0.0000
```

Summary:
- crystal system = tetragonal
- ΔH_f (0 K) (eV per atom) = 0.984

First-principles (GGA-PBE) data for an optimized crystal structure of NaCaNdCd, as listed in Alexandria via LeMat-Bulk. Values from VASP.

The structure in Quantum ESPRESSO input format:
```
&SYSTEM
  ibrav = 0, nat = 4, ntyp = 4
/
ATOMIC_SPECIES
Na 22.99 Na.upf
Ca 40.08 Ca.upf
Nd 144.24 Nd.upf
Cd 112.41 Cd.upf
CELL_PARAMETERS angstrom
0.0000 3.9376 3.9376
3.9376 0.0000 3.9376
3.9376 3.9376 0.0000
ATOMIC_POSITIONS crystal
Na 0.0000 0.0000 0.0000
Ca 0.2500 0.2500 0.2500
Nd 0.7500 0.7500 0.7500
Cd 0.5000 0.5000 0.5000
```

Summary:
- crystal system = cubic
- ΔH_f (0 K) (eV per atom) = -0.071

First-principles (GGA-PBE) data for an optimized crystal structure of NaCa3Cd4O8, as listed in Alexandria via LeMat-Bulk. Values from VASP.

The structure in Quantum ESPRESSO input format:
```
&SYSTEM
  ibrav = 0, nat = 16, ntyp = 4
/
ATOMIC_SPECIES
Na 22.99 Na.upf
Ca 40.08 Ca.upf
Cd 112.41 Cd.upf
O 16.00 O.upf
CELL_PARAMETERS angstrom
3.4102 1.9689 5.4589
-3.4102 1.9689 5.4589
0.0000 -3.9377 5.4589
ATOMIC_POSITIONS crystal
Na 0.0000 0.0000 0.0000
Ca 0.0000 0.5000 0.5000
Ca 0.5000 0.0000 0.5000
Ca 0.5000 0.5000 0.0000
Cd 0.0000 0.0000 0.5000
Cd 0.0000 0.5000 0.0000
Cd 0.5000 0.0000 0.0000
Cd 0.5000 0.5000 0.5000
O 0.2522 0.2522 0.2522
O 0.2563 0.2563 0.7426
O 0.2563 0.7426 0.2563
O 0.2574 0.7437 0.7437
O 0.7426 0.2563 0.2563
O 0.7437 0.2574 0.7437
O 0.7437 0.7437 0.2574
O 0.7478 0.7478 0.7478
```

Summary:
- crystal system = trigonal
- formation energy from raw total energies (eV per atom) = -1.7482

First-principles (GGA-PBE) data for an optimized crystal structure of NaCa2CdP, as listed in Alexandria via LeMat-Bulk. Values from VASP.

The structure in Quantum ESPRESSO input format:
```
&SYSTEM
  ibrav = 0, nat = 5, ntyp = 4
/
ATOMIC_SPECIES
Na 22.99 Na.upf
Ca 40.08 Ca.upf
Cd 112.41 Cd.upf
P 30.97 P.upf
CELL_PARAMETERS angstrom
5.5054 0.0000 0.0000
0.0000 5.5054 0.0000
0.0000 0.0000 5.3897
ATOMIC_POSITIONS crystal
Na 0.0000 0.0000 0.0000
Ca 0.0000 0.5000 0.5000
Ca 0.5000 0.0000 0.5000
Cd 0.5000 0.5000 0.0000
P 0.0000 0.0000 0.5000
```

Summary:
- crystal system = tetragonal
- ΔH_f (0 K) (eV per atom) = -0.435

First-principles (GGA-PBE) data for an optimized crystal structure of Na2CaCdPb2, as listed in Alexandria via LeMat-Bulk. Values from VASP.

The structure in Quantum ESPRESSO input format:
```
&SYSTEM
  ibrav = 0, nat = 12, ntyp = 4
/
ATOMIC_SPECIES
Na 22.99 Na.upf
Ca 40.08 Ca.upf
Cd 112.41 Cd.upf
Pb 207.20 Pb.upf
CELL_PARAMETERS angstrom
5.0626 0.0000 0.0000
0.0000 9.5464 0.0000
0.0000 0.0000 7.3082
ATOMIC_POSITIONS crystal
Na 0.0000 0.0428 0.0000
Na 0.0000 0.9572 0.5000
Na 0.5000 0.1756 0.2801
Na 0.5000 0.8244 0.7801
Ca 0.5000 0.4721 0.9560
Ca 0.5000 0.5279 0.4560
Cd 0.0000 0.3123 0.6536
Cd 0.0000 0.6877 0.1536
Pb 0.0000 0.3755 0.2243
Pb 0.0000 0.6245 0.7243
Pb 0.5000 0.1529 0.7325
Pb 0.5000 0.8471 0.2325
```

Summary:
- crystal system = orthorhombic
- ΔH_f (0 K) (eV per atom) = -0.231

First-principles (GGA-PBE) data for an optimized crystal structure of NaCa2Cd2Pb2, as listed in Alexandria via LeMat-Bulk. Values from VASP.

The structure in Quantum ESPRESSO input format:
```
&SYSTEM
  ibrav = 0, nat = 7, ntyp = 4
/
ATOMIC_SPECIES
Na 22.99 Na.upf
Ca 40.08 Ca.upf
Cd 112.41 Cd.upf
Pb 207.20 Pb.upf
CELL_PARAMETERS angstrom
2.6057 1.5044 9.1353
-2.6057 1.5044 9.1353
0.0000 -3.0088 9.1353
ATOMIC_POSITIONS crystal
Na 0.0000 0.0000 0.0000
Ca 0.1332 0.1332 0.1332
Ca 0.8668 0.8668 0.8668
Cd 0.4371 0.4371 0.4371
Cd 0.5629 0.5629 0.5629
Pb 0.2617 0.2617 0.2617
Pb 0.7383 0.7383 0.7383
```

Summary:
- crystal system = trigonal
- ΔH_f (0 K) (eV per atom) = -0.241

First-principles (GGA-PBE) data for an optimized crystal structure of NaCaCdPd, as listed in Alexandria via LeMat-Bulk. Values from VASP.

The structure in Quantum ESPRESSO input format:
```
&SYSTEM
  ibrav = 0, nat = 4, ntyp = 4
/
ATOMIC_SPECIES
Na 22.99 Na.upf
Ca 40.08 Ca.upf
Cd 112.41 Cd.upf
Pd 106.42 Pd.upf
CELL_PARAMETERS angstrom
0.0000 3.5450 3.5450
3.5450 0.0000 3.5450
3.5450 3.5450 0.0000
ATOMIC_POSITIONS crystal
Na 0.0000 0.0000 0.0000
Ca 0.2500 0.2500 0.2500
Cd 0.7500 0.7500 0.7500
Pd 0.5000 0.5000 0.5000
```

Summary:
- crystal system = cubic
- ΔH_f (0 K) (eV per atom) = -0.317

First-principles (GGA-PBE) data for an optimized crystal structure of NaCaPmCd, as listed in Alexandria via LeMat-Bulk. Values from VASP.

The structure in Quantum ESPRESSO input format:
```
&SYSTEM
  ibrav = 0, nat = 4, ntyp = 4
/
ATOMIC_SPECIES
Na 22.99 Na.upf
Ca 40.08 Ca.upf
Pm 145.00 Pm.upf
Cd 112.41 Cd.upf
CELL_PARAMETERS angstrom
0.0000 3.9239 3.9239
3.9239 0.0000 3.9239
3.9239 3.9239 0.0000
ATOMIC_POSITIONS crystal
Na 0.0000 0.0000 0.0000
Ca 0.7500 0.7500 0.7500
Pm 0.2500 0.2500 0.2500
Cd 0.5000 0.5000 0.5000
```

Summary:
- crystal system = cubic
- ΔH_f (0 K) (eV per atom) = -0.061

First-principles (GGA-PBE) data for an optimized crystal structure of NaCaPrCd, as listed in Alexandria via LeMat-Bulk. Values from VASP.

The structure in Quantum ESPRESSO input format:
```
&SYSTEM
  ibrav = 0, nat = 4, ntyp = 4
/
ATOMIC_SPECIES
Na 22.99 Na.upf
Ca 40.08 Ca.upf
Pr 140.91 Pr.upf
Cd 112.41 Cd.upf
CELL_PARAMETERS angstrom
0.0000 3.9522 3.9522
3.9522 0.0000 3.9522
3.9522 3.9522 0.0000
ATOMIC_POSITIONS crystal
Na 0.0000 0.0000 0.0000
Ca 0.7500 0.7500 0.7500
Pr 0.2500 0.2500 0.2500
Cd 0.5000 0.5000 0.5000
```

Summary:
- crystal system = cubic
- ΔH_f (0 K) (eV per atom) = -0.080

First-principles (GGA-PBE) data for an optimized crystal structure of NaCaCd2Pt, as listed in Alexandria via LeMat-Bulk. Values from VASP.

The structure in Quantum ESPRESSO input format:
```
&SYSTEM
  ibrav = 0, nat = 5, ntyp = 4
/
ATOMIC_SPECIES
Na 22.99 Na.upf
Ca 40.08 Ca.upf
Cd 112.41 Cd.upf
Pt 195.08 Pt.upf
CELL_PARAMETERS angstrom
5.3355 0.0000 0.0000
0.0000 5.3355 0.0000
0.0000 0.0000 5.3396
ATOMIC_POSITIONS crystal
Na 0.0000 0.0000 0.0000
Ca 0.5000 0.5000 0.0000
Cd 0.0000 0.5000 0.5000
Cd 0.5000 0.0000 0.5000
Pt 0.5000 0.5000 0.5000
```

Summary:
- crystal system = tetragonal
- ΔH_f (0 K) (eV per atom) = -0.295

First-principles (GGA-PBE) data for an optimized crystal structure of NaCa2CdPt, as listed in Alexandria via LeMat-Bulk. Values from VASP.

The structure in Quantum ESPRESSO input format:
```
&SYSTEM
  ibrav = 0, nat = 5, ntyp = 4
/
ATOMIC_SPECIES
Na 22.99 Na.upf
Ca 40.08 Ca.upf
Cd 112.41 Cd.upf
Pt 195.08 Pt.upf
CELL_PARAMETERS angstrom
5.5540 0.0000 0.0000
0.0000 5.5540 0.0000
0.0000 0.0000 5.3367
ATOMIC_POSITIONS crystal
Na 0.0000 0.0000 0.0000
Ca 0.0000 0.5000 0.5000
Ca 0.5000 0.0000 0.5000
Cd 0.5000 0.5000 0.0000
Pt 0.5000 0.5000 0.5000
```

Summary:
- crystal system = tetragonal
- ΔH_f (0 K) (eV per atom) = -0.399